Crystalline La2MgSn4Pd3 at its relaxed geometry. Source: Alexandria, functional PBE.

Output
* DOS at the Fermi energy: 4.11 states/eV/cell
* DFT formation energy: -761 meV per atom

abc: 4.518 4.518 11.607
angles: 90.00 90.00 90.00
Atoms (fractional coordinates):
Sn1 0.500 0.500 0.000
Pd1 0.500 0.000 0.870
Sn2 0.000 0.500 0.357
Mg1 0.500 0.500 0.500
Pd2 0.000 0.000 0.500
Sn3 0.000 0.000 0.000
La1 0.500 0.000 0.246
Sn4 0.500 0.000 0.643
La2 0.000 0.500 0.754
Pd3 0.000 0.500 0.130